Record 1
Compound: KTl2RuPb
Source: Alexandria
Functional: PBE-GGA
Structure: optimized geometry

Unit cell a=5.385 b=5.385 c=5.335 alpha=90.00 beta=90.00 gamma=90.00
Fractional coordinates of all 5 atoms:
Pb 0.000 0.000 0.500
Ru 0.000 0.000 0.000
Tl 0.000 0.500 0.000
Tl 0.500 0.000 0.000
K 0.500 0.500 0.500

Output
SG: P4/mmm, No. 123
calculated total energy: -3.65 eV per atom
ΔH_f (0 K): 0.113 eV/atom
mass density: 8.12 g/cm3
relative energy among the computed polymorphs: 0 meV/atom

Record 2
Compound: Ba3Sr5I12
Source: Alexandria
Functional: PBE-GGA
Structure: optimized geometry

Unit cell a=17.366 b=17.366 c=17.366 alpha=109.47 beta=109.47 gamma=109.47
Fractional coordinates of all 80 atoms:
Ba 0.750 0.375 0.125
Ba 0.875 0.750 0.125
Ba 0.375 0.750 0.625
Ba 0.250 0.125 0.375
Ba 0.875 0.125 0.250
Ba 0.375 0.625 0.250
Ba 0.625 0.375 0.750
Ba 0.125 0.875 0.750
Ba 0.750 0.875 0.625
Ba 0.625 0.250 0.375
Ba 0.125 0.250 0.875
Ba 0.250 0.625 0.875
Sr 0.125 0.375 0.250
Sr 0.000 0.500 0.000
Sr 0.000 0.000 0.000
Sr 0.375 0.250 0.125
Sr 0.500 0.000 0.500
Sr 0.500 0.500 0.000
Sr 0.125 0.750 0.375
Sr 0.750 0.125 0.875
Sr 0.750 0.625 0.375
Sr 0.375 0.125 0.750
Sr 0.625 0.875 0.250
Sr 0.500 0.500 0.500
Sr 0.500 0.000 0.000
Sr 0.000 0.000 0.500
Sr 0.250 0.375 0.625
Sr 0.250 0.875 0.125
Sr 0.000 0.500 0.500
Sr 0.875 0.250 0.625
Sr 0.625 0.750 0.875
Sr 0.875 0.625 0.750
I 0.719 0.127 0.047
I 0.328 0.547 0.420
I 0.953 0.373 0.281
I 0.547 0.219 0.127
I 0.592 0.719 0.672
I 0.953 0.580 0.172
I 0.328 0.781 0.408
I 0.080 0.908 0.127
I 0.580 0.953 0.672
I 0.719 0.592 0.172
I 0.781 0.453 0.373
I 0.828 0.920 0.047
I 0.127 0.719 0.547
I 0.373 0.420 0.092
I 0.092 0.920 0.373
I 0.408 0.127 0.580
I 0.092 0.172 0.219
I 0.453 0.672 0.080
I 0.828 0.908 0.281
I 0.127 0.408 0.080
I 0.373 0.953 0.781
I 0.580 0.627 0.408
I 0.920 0.828 0.547
I 0.781 0.328 0.908
I 0.420 0.373 0.592
I 0.080 0.172 0.453
I 0.219 0.672 0.092
I 0.172 0.092 0.719
I 0.627 0.047 0.219
I 0.873 0.592 0.920
I 0.547 0.328 0.920
I 0.592 0.873 0.420
I 0.908 0.828 0.781
I 0.908 0.080 0.627
I 0.873 0.281 0.453
I 0.172 0.080 0.953
I 0.627 0.580 0.908
I 0.420 0.047 0.328
I 0.281 0.408 0.828
I 0.219 0.547 0.627
I 0.920 0.092 0.873
I 0.672 0.219 0.592
I 0.453 0.781 0.873
I 0.047 0.420 0.828
I 0.408 0.281 0.328
I 0.047 0.627 0.719
I 0.672 0.453 0.580
I 0.281 0.873 0.953

Output
SG: Ia-3d, No. 230
calculated total energy: -3.00 eV per atom
formation energy (no corrections): -1.36 eV/atom
mass density: 3.91 g/cm3

Record 3
Compound: CuPt2PbW
Source: Alexandria
Functional: PBE-GGA
Structure: optimized geometry

Unit cell a=5.033 b=4.680 c=5.033 alpha=90.00 beta=90.00 gamma=90.00
Fractional coordinates of all 5 atoms:
Pb 0.000 0.000 0.000
Cu 0.000 0.500 0.000
W 0.500 0.500 0.500
Pt 0.000 0.000 0.500
Pt 0.500 0.000 0.000

Output
SG: P4/mmm, No. 123
calculated total energy: -4.73 eV per atom
ΔH_f (0 K): 1.842 eV/atom
mass density: 11.83 g/cm3

Record 4
Compound: LaPr2Al6
Source: Alexandria
Functional: PBE-GGA
Structure: optimized geometry

Unit cell a=3.892 b=7.972 c=7.972 alpha=120.00 beta=90.00 gamma=90.00
Fractional coordinates of all 9 atoms:
La 0.000 0.000 0.000
Pr 0.000 0.333 0.667
Pr 0.000 0.667 0.333
Al 0.500 0.334 0.334
Al 0.500 0.666 0.666
Al 0.500 0.000 0.666
Al 0.500 0.666 0.000
Al 0.500 0.334 0.000
Al 0.500 0.000 0.334

Output
SG: P6/mmm, No. 191
calculated total energy: -4.57 eV per atom
ΔH_f (0 K): -0.464 eV/atom
mass density: 4.52 g/cm3